Here is a relaxed ZrZnAsSe2 crystal from the Alexandria database. Energies are from GGA-PBE.

a = 4.8424 Å, b = 4.8424 Å, c = 4.7561 Å
α = 90.00°, β = 90.00°, γ = 90.00°
Fractional coordinates of all 5 atoms:
Zr 0.0000 0.0000 0.0000
Zn 0.5000 0.5000 0.5000
As 0.5000 0.5000 0.0000
Se 0.0000 0.5000 0.5000
Se 0.5000 0.0000 0.5000

Results
SG   P4/mmm
Crystal system   tetragonal
ΔE to the lowest computed polymorph   0.3188 eV/atom
Energy relative to the elements, uncorrected   0.25 eV/atom